[1]
# LiInMo2

Crystalline LiInMo2 at its relaxed geometry (PBE, Alexandria).

abc: 5.318 5.318 5.318
angles: 138.57 138.57 60.04
Atoms (fractional coordinates):
In (0.250, 0.750, 0.500)
Li (0.750, 0.250, 0.500)
Mo (0.000, 0.000, 0.000)
Mo (0.500, 0.500, 0.000)

E ... -6.34 eV/atom
Space group ... I4/mmm

=====

[2]
# LiInMo2

Crystalline LiInMo2 at its relaxed geometry (PBE, Alexandria).

abc: 4.605 3.759 3.759
angles: 90.00 90.00 90.00
Atoms (fractional coordinates):
In (0.500, 0.500, 0.000)
Li (0.500, 0.000, 0.500)
Mo (0.000, 0.000, 0.000)
Mo (0.000, 0.500, 0.500)

E ... -6.35 eV/atom
Space group ... P4/mmm

=====

Please write out number 1 again, unchanged.
# LiInMo2

Crystalline LiInMo2 at its relaxed geometry (PBE, Alexandria).

abc: 5.318 5.318 5.318
angles: 138.57 138.57 60.04
Atoms (fractional coordinates):
In (0.250, 0.750, 0.500)
Li (0.750, 0.250, 0.500)
Mo (0.000, 0.000, 0.000)
Mo (0.500, 0.500, 0.000)

E ... -6.34 eV/atom
Space group ... I4/mmm

=====

- Number 1 is which compound?
  LiInMo2

=====

What did the first record say?
# LiInMo2

Crystalline LiInMo2 at its relaxed geometry (PBE, Alexandria).

abc: 5.318 5.318 5.318
angles: 138.57 138.57 60.04
Atoms (fractional coordinates):
In (0.250, 0.750, 0.500)
Li (0.750, 0.250, 0.500)
Mo (0.000, 0.000, 0.000)
Mo (0.500, 0.500, 0.000)

E ... -6.34 eV/atom
Space group ... I4/mmm